No. 1
A plane-wave DFT calculation with GGA-PBE was carried out for Cs3SrHg after structural relaxation.

Output
* magnetic moment: 0.00 μB per formula unit
* DOS(E_F): 0.772 states/eV/atom
* space-group type: Pm-3m
* E above lowest polymorph: 0 meV/atom
* energy relative to the elements: 4.6 kJ/mol of atoms

abc: 7.399 7.399 7.399
angles: 90.00 90.00 90.00
Atoms (fractional coordinates):
Cs: 0.000 0.500 0.000
Cs: 0.000 0.000 0.500
Cs: 0.500 0.000 0.000
Hg: 0.000 0.000 0.000
Sr: 0.500 0.500 0.500



No. 2
A plane-wave DFT calculation with GGA-PBE was carried out for Cs2SrHg after structural relaxation.

Output
* magnetic moment: 0.00 μB per formula unit
* DOS(E_F): 1.050 states/eV/atom
* space-group type: R-3m
* E above lowest polymorph: 65 meV/atom
* energy relative to the elements: 6.9 kJ/mol of atoms

abc: 4.614 4.614 14.552
angles: 80.88 80.88 60.00
Atoms (fractional coordinates):
Cs: 0.896 0.896 0.312
Cs: 0.104 0.104 0.688
Sr: 0.000 0.000 0.000
Hg: 0.500 0.500 0.500



No. 3
A plane-wave DFT calculation with GGA-PBE was carried out for CsSrHgTe2 after structural relaxation.

Output
* magnetic moment: 0.00 μB per formula unit
* DOS(E_F): 0.779 states/eV/atom
* energy relative to the elements, uncorrected: -0.8459 eV/atom
* space-group type: P2/c

abc: 6.133 8.775 9.068
angles: 100.57 90.00 90.00
Atoms (fractional coordinates):
Hg: 0.000 0.000 0.000
Hg: 0.000 0.000 0.500
Cs: 0.150 0.500 0.750
Cs: 0.850 0.500 0.250
Sr: 0.520 0.000 0.750
Sr: 0.480 0.000 0.250
Te: 0.659 0.750 0.963
Te: 0.659 0.250 0.537
Te: 0.341 0.750 0.463
Te: 0.341 0.250 0.037



No. 4
A plane-wave DFT calculation with GGA-PBE was carried out for CsTaHg after structural relaxation.

Output
* magnetic moment: 0.00 μB per formula unit
* DOS(E_F): 0.932 states/eV/atom
* space-group type: P1
* E above lowest polymorph: 0 meV/atom
* energy relative to the elements: 64.0 kJ/mol of atoms

abc: 4.639 5.065 12.743
angles: 113.46 100.48 90.00
Atoms (fractional coordinates):
Hg: 0.915 0.029 0.423
Hg: 0.809 0.317 0.211
Ta: 0.365 0.674 0.322
Ta: 0.360 0.163 0.311
Cs: 0.520 0.719 0.626
Cs: 0.204 0.599 0.007



No. 5
A plane-wave DFT calculation with GGA-PBE was carried out for CsTa3Hg after structural relaxation.

Output
* magnetic moment: 3.43 μB per formula unit
* DOS(E_F): 1.650 states/eV/atom
* space-group type: Pm-3m
* E above lowest polymorph: 0 meV/atom
* energy relative to the elements: 238.4 kJ/mol of atoms

abc: 5.283 5.283 5.283
angles: 90.00 90.00 90.00
Atoms (fractional coordinates):
Hg: 0.000 0.000 0.000
Cs: 0.500 0.500 0.500
Ta: 0.000 0.000 0.500
Ta: 0.500 0.000 0.000
Ta: 0.000 0.500 0.000



No. 6
A plane-wave DFT calculation with GGA-PBE was carried out for Cs2TaHg after structural relaxation.

Output
* magnetic moment: 4.96 μB per formula unit
* DOS(E_F): 0.339 states/eV/atom
* space-group type: Fm-3m
* energy relative to the elements: 130.0 kJ/mol of atoms

abc: 6.103 6.103 6.103
angles: 60.00 60.00 60.00
Atoms (fractional coordinates):
Cs: 0.750 0.750 0.750
Cs: 0.250 0.250 0.250
Ta: 0.000 0.000 0.000
Hg: 0.500 0.500 0.500



No. 7
A plane-wave DFT calculation with GGA-PBE was carried out for CsTaHg after structural relaxation.

Output
* magnetic moment: 0.00 μB per formula unit
* DOS(E_F): 0.685 states/eV/atom
* space-group type: Pnma
* E above lowest polymorph: 177 meV/atom
* energy relative to the elements: 81.1 kJ/mol of atoms

abc: 8.096 5.119 9.598
angles: 90.00 90.00 90.00
Atoms (fractional coordinates):
Hg: 0.246 0.250 0.239
Hg: 0.754 0.750 0.761
Hg: 0.254 0.750 0.739
Hg: 0.746 0.250 0.261
Ta: 0.493 0.750 0.970
Ta: 0.993 0.750 0.530
Ta: 0.507 0.250 0.030
Ta: 0.007 0.250 0.470
Cs: 0.014 0.250 0.865
Cs: 0.514 0.250 0.635
Cs: 0.486 0.750 0.365
Cs: 0.986 0.750 0.135



No. 8
A plane-wave DFT calculation with GGA-PBE was carried out for CsTa3Hg after structural relaxation.

Output
* magnetic moment: 0.00 μB per formula unit
* DOS(E_F): 0.438 states/eV/atom
* space-group type: Pm-3m
* E above lowest polymorph: 611 meV/atom
* energy relative to the elements: 297.4 kJ/mol of atoms

abc: 5.025 5.025 5.025
angles: 90.00 90.00 90.00
Atoms (fractional coordinates):
Ta: 0.500 0.000 0.000
Ta: 0.000 0.000 0.500
Ta: 0.000 0.500 0.000
Cs: 0.000 0.000 0.000
Hg: 0.500 0.500 0.500